# 1
VASP calculation (GGA-PBE) on BaSrCl2 after structural relaxation.

Unit cell a=6.507 b=6.507 c=6.507 alpha=143.60 beta=105.31 gamma=86.05
Atoms (fractional coordinates):
Sr 0.750 0.250 0.500
Ba 0.250 0.750 0.500
Cl 0.976 0.976 0.000
Cl 0.524 0.524 0.000

Output
As for the symmetry: Immm, No. 71. The calculation puts the energy above the lowest structure with this stoichiometry at 55 kJ/mol of formula units. The energy relative to the elements, uncorrected comes out at -1625 meV/atom. As for the total energy: -0.1268 hartree per atom.

***

# 2
VASP calculation (GGA-PBE) on BaSr2Cl after structural relaxation.

Unit cell a=4.376 b=6.172 c=7.352 alpha=90.00 beta=90.00 gamma=90.00
Atoms (fractional coordinates):
Ba 0.500 0.000 0.500
Cl 0.000 0.500 0.500
Sr 0.000 0.000 0.000
Sr 0.500 0.500 0.000

Output
As for the symmetry: Pmmm, No. 47. The calculation puts the energy above the lowest structure with this stoichiometry at 131 kJ/mol of formula units. The energy relative to the elements, uncorrected comes out at -487 meV/atom. As for the total energy: -0.0834 hartree per atom.

***

# 3
VASP calculation (GGA-PBE) on Ba4SrCl10 after structural relaxation.

Unit cell a=7.337 b=8.994 c=8.994 alpha=80.42 beta=65.93 gamma=65.93
Atoms (fractional coordinates):
Ba 0.399 0.802 0.399
Ba 0.799 0.601 0.802
Ba 0.201 0.399 0.198
Ba 0.601 0.198 0.601
Sr 0.000 0.000 0.000
Cl 0.250 0.500 0.500
Cl 0.659 0.293 0.903
Cl 0.049 0.097 0.293
Cl 0.438 0.903 0.707
Cl 0.854 0.707 0.097
Cl 0.341 0.707 0.097
Cl 0.750 0.500 0.500
Cl 0.146 0.293 0.903
Cl 0.562 0.097 0.293
Cl 0.951 0.903 0.707

Output
As for the symmetry: I4/m, No. 87. The energy relative to the elements, uncorrected comes out at -2540 meV/atom. As for the total energy: -0.1616 hartree per atom.

***

# 4
VASP calculation (GGA-PBE) on BaSrCl2 after structural relaxation.

Unit cell a=3.899 b=5.506 c=5.506 alpha=90.00 beta=90.00 gamma=90.00
Each line ends with the local moment (μB).
Atoms (fractional coordinates):
Sr 0.500 0.500 0.000  0.19
Ba 0.500 0.000 0.500  0.20
Cl 0.000 0.000 0.000  0.00
Cl 0.000 0.500 0.500  0.00

Output
As for the symmetry: P4/mmm, No. 123. The calculation puts the energy above the lowest structure with this stoichiometry at 138 kJ/mol of formula units. The energy relative to the elements, uncorrected comes out at -1411 meV/atom. As for the total energy: -0.1189 hartree per atom.

***

# 5
VASP calculation (GGA-PBE) on Ba2SrCl after structural relaxation.

Unit cell a=8.487 b=8.487 c=8.487 alpha=144.17 beta=144.17 gamma=51.57
Atoms (fractional coordinates):
Ba 0.000 0.000 0.000
Ba 0.250 0.750 0.500
Cl 0.500 0.500 0.000
Sr 0.750 0.250 0.500

Output
As for the symmetry: I-4m2, No. 119. The calculation puts the energy above the lowest structure with this stoichiometry at 156 kJ/mol of formula units. The energy relative to the elements, uncorrected comes out at -445 meV/atom. As for the total energy: -0.0841 hartree per atom.

***

# 6
VASP calculation (GGA-PBE) on BaSrCl2 after structural relaxation.

Unit cell a=4.499 b=4.499 c=10.361 alpha=77.46 beta=77.46 gamma=60.00
Atoms (fractional coordinates):
Ba 0.478 0.478 0.566
Sr 0.673 0.673 0.981
Cl 0.054 0.054 0.837
Cl 0.295 0.295 0.116

Output
As for the symmetry: R3m, No. 160. The calculation puts the energy above the lowest structure with this stoichiometry at 40 kJ/mol of formula units. The energy relative to the elements, uncorrected comes out at -1663 meV/atom. As for the total energy: -0.1281 hartree per atom.

***

# 7
VASP calculation (GGA-PBE) on Ba2SrCl after structural relaxation.

Unit cell a=4.078 b=4.077 c=11.269 alpha=90.00 beta=90.00 gamma=90.00
Atoms (fractional coordinates):
Ba 0.000 0.000 0.051
Ba 0.000 0.000 0.449
Cl 0.500 0.500 0.250
Sr 0.500 0.500 0.750

Output
As for the symmetry: P4/mmm, No. 123. The calculation puts the energy above the lowest structure with this stoichiometry at 46 kJ/mol of formula units. The energy relative to the elements, uncorrected comes out at -731 meV/atom. As for the total energy: -0.0946 hartree per atom.

***

# 8
VASP calculation (GGA-PBE) on Ba4SrCl after structural relaxation.

Unit cell a=8.089 b=8.089 c=8.089 alpha=60.00 beta=60.00 gamma=60.00
Each line ends with the local moment (μB).
Atoms (fractional coordinates):
Ba 0.877 0.374 0.374  0.08
Ba 0.374 0.374 0.877  0.08
Ba 0.374 0.877 0.374  0.08
Ba 0.374 0.374 0.374  0.08
Sr 0.000 0.000 0.000  0.05
Cl 0.750 0.750 0.750  0.01

Output
As for the symmetry: F-43m, No. 216. The energy relative to the elements, uncorrected comes out at 18 meV/atom. As for the total energy: -0.0681 hartree per atom.

***

# 9
VASP calculation (GGA-PBE) on BaSrCl2 after structural relaxation.

Unit cell a=7.043 b=7.043 c=8.628 alpha=65.91 beta=65.91 gamma=90.00
Each line ends with the local moment (μB).
Atoms (fractional coordinates):
Sr 0.500 0.500 0.000  0.10
Sr 0.250 0.750 0.500  0.10
Ba 0.000 0.000 0.000  0.17
Ba 0.750 0.250 0.500  0.17
Cl 0.598 0.125 0.250  0.03
Cl 0.152 0.625 0.250  0.03
Cl 0.375 0.402 0.750  0.03
Cl 0.875 0.848 0.750  0.03

Output
As for the symmetry: I-42d, No. 122. The calculation puts the energy above the lowest structure with this stoichiometry at 53 kJ/mol of formula units. The energy relative to the elements, uncorrected comes out at -1630 meV/atom. As for the total energy: -0.1270 hartree per atom.

***

# 10
VASP calculation (GGA-PBE) on Ba2SrCl6 after structural relaxation.

Unit cell a=5.167 b=7.301 c=8.918 alpha=114.16 beta=106.83 gamma=90.00
Atoms (fractional coordinates):
Ba 0.335 0.335 0.669
Ba 0.665 0.665 0.331
Sr 0.000 0.000 0.000
Cl 0.838 0.082 0.676
Cl 0.162 0.406 0.324
Cl 0.162 0.918 0.324
Cl 0.500 0.238 0.000
Cl 0.838 0.594 0.676
Cl 0.500 0.762 0.000

Output
As for the symmetry: Immm, No. 71. The energy relative to the elements, uncorrected comes out at -2530 meV/atom. As for the total energy: -0.1608 hartree per atom.

***

# 11
VASP calculation (GGA-PBE) on BaSrCl2 after structural relaxation.

Unit cell a=4.515 b=4.515 c=9.519 alpha=90.00 beta=90.00 gamma=126.96
Atoms (fractional coordinates):
Sr 0.500 0.500 0.250
Ba 0.500 0.500 0.750
Cl 0.000 0.000 0.020
Cl 0.000 0.000 0.480

Output
As for the symmetry: Cmmm, No. 65. The calculation puts the energy above the lowest structure with this stoichiometry at 58 kJ/mol of formula units. The energy relative to the elements, uncorrected comes out at -1618 meV/atom. As for the total energy: -0.1265 hartree per atom.

***

# 12
VASP calculation (GGA-PBE) on BaSr2Cl after structural relaxation.

Unit cell a=7.886 b=7.886 c=7.886 alpha=140.74 beta=140.74 gamma=56.73
Atoms (fractional coordinates):
Ba 0.500 0.500 0.000
Cl 0.750 0.250 0.500
Sr 0.000 0.000 0.000
Sr 0.250 0.750 0.500

Output
As for the symmetry: I-4m2, No. 119. The calculation puts the energy above the lowest structure with this stoichiometry at 166 kJ/mol of formula units. The energy relative to the elements, uncorrected comes out at -397 meV/atom. As for the total energy: -0.0801 hartree per atom.

***

What did the fourth record say?
VASP calculation (GGA-PBE) on BaSrCl2 after structural relaxation.

Unit cell a=3.899 b=5.506 c=5.506 alpha=90.00 beta=90.00 gamma=90.00
Each line ends with the local moment (μB).
Atoms (fractional coordinates):
Sr 0.500 0.500 0.000  0.19
Ba 0.500 0.000 0.500  0.20
Cl 0.000 0.000 0.000  0.00
Cl 0.000 0.500 0.500  0.00

Output
As for the symmetry: P4/mmm, No. 123. The calculation puts the energy above the lowest structure with this stoichiometry at 138 kJ/mol of formula units. The energy relative to the elements, uncorrected comes out at -1411 meV/atom. As for the total energy: -0.1189 hartree per atom.

***

What did the tenth record say?
VASP calculation (GGA-PBE) on Ba2SrCl6 after structural relaxation.

Unit cell a=5.167 b=7.301 c=8.918 alpha=114.16 beta=106.83 gamma=90.00
Atoms (fractional coordinates):
Ba 0.335 0.335 0.669
Ba 0.665 0.665 0.331
Sr 0.000 0.000 0.000
Cl 0.838 0.082 0.676
Cl 0.162 0.406 0.324
Cl 0.162 0.918 0.324
Cl 0.500 0.238 0.000
Cl 0.838 0.594 0.676
Cl 0.500 0.762 0.000

Output
As for the symmetry: Immm, No. 71. The energy relative to the elements, uncorrected comes out at -2530 meV/atom. As for the total energy: -0.1608 hartree per atom.